{"formula": "LiAlSnGe", "functional": "PBE", "state": "optimized geometry", "cell": [[-4.527, -0.059, 1.663], [-1.003, -2.178, 4.185], [-1.184, 2.631, 3.865]], "species": ["Sn", "Al", "Ge", "Li"], "fractional_positions": [[0.750, 0.750, 0.750], [0.000, 0.000, 0.000], [0.250, 0.250, 0.250], [0.500, 0.500, 0.500]]}

=====

{"formula": "SrLiAl2Ge2", "functional": "PBE", "state": "optimized geometry", "cell": [[4.475, 0.000, 0.000], [-2.237, 3.875, 0.000], [0.000, 0.000, 7.223]], "species": ["Li", "Ge", "Ge", "Al", "Al", "Sr"], "fractional_positions": [[0.000, 0.000, 0.500], [0.667, 0.333, 0.723], [0.333, 0.667, 0.277], [0.333, 0.667, 0.646], [0.667, 0.333, 0.354], [0.000, 0.000, 0.000]]}

=====

{"formula": "Sr2LiAlGe2", "functional": "PBE", "state": "optimized geometry", "cell": [[-2.308, 5.827, 1.008], [-3.771, -2.285, 4.577], [8.294, -0.545, 2.148]], "species": ["Ge", "Ge", "Ge", "Ge", "Sr", "Sr", "Sr", "Sr", "Al", "Al", "Li", "Li"], "fractional_positions": [[0.839, 0.104, 0.208], [0.631, 0.396, 0.792], [0.161, 0.896, 0.792], [0.369, 0.604, 0.208], [0.923, 0.663, 0.326], [0.077, 0.337, 0.674], [0.597, 0.837, 0.674], [0.403, 0.163, 0.326], [0.500, 0.250, 0.000], [0.500, 0.750, 0.000], [0.000, 0.750, 0.000], [0.000, 0.250, 0.000]]}

=====

{"formula": "Sr2Li3AlGe4", "functional": "PBE", "state": "optimized geometry", "cell": [[4.228, 0.000, 0.000], [0.000, 4.228, 0.000], [0.000, 0.000, 11.576]], "species": ["Ge", "Ge", "Ge", "Ge", "Al", "Sr", "Sr", "Li", "Li", "Li"], "fractional_positions": [[0.500, 0.500, 0.000], [0.000, 0.500, 0.364], [0.500, 0.000, 0.636], [0.000, 0.000, 0.000], [0.500, 0.500, 0.500], [0.500, 0.000, 0.249], [0.000, 0.500, 0.751], [0.000, 0.000, 0.500], [0.500, 0.000, 0.862], [0.000, 0.500, 0.138]]}

=====

{"formula": "SrLiAlGe2", "functional": "PBE", "state": "optimized geometry", "cell": [[-0.206, 3.853, 2.088], [-3.129, -1.593, 2.630], [5.512, -2.841, 1.178]], "species": ["Li", "Sr", "Ge", "Ge", "Al"], "fractional_positions": [[0.250, 0.750, 0.500], [0.000, 0.000, 0.000], [0.382, 0.382, 0.765], [0.618, 0.618, 0.235], [0.750, 0.250, 0.500]]}

=====

{"formula": "SrLi2AlGe2", "functional": "PBE", "state": "optimized geometry", "cell": [[4.338, 0.000, 0.000], [0.000, 7.702, 0.000], [0.000, 0.000, 7.710]], "species": ["Ge", "Ge", "Ge", "Ge", "Li", "Li", "Li", "Li", "Sr", "Sr", "Al", "Al"], "fractional_positions": [[0.000, 0.197, 0.875], [0.000, 0.697, 0.125], [0.500, 0.790, 0.631], [0.500, 0.290, 0.369], [0.000, 0.859, 0.829], [0.000, 0.359, 0.171], [0.500, 0.573, 0.940], [0.500, 0.073, 0.060], [0.000, 0.491, 0.597], [0.000, 0.991, 0.403], [0.500, 0.135, 0.690], [0.500, 0.635, 0.310]]}

=====

{"formula": "LiTaAl2Ge", "functional": "PBE", "state": "optimized geometry", "cell": [[4.364, 0.000, 0.000], [0.000, 4.340, 0.000], [0.000, 0.000, 4.364]], "species": ["Ge", "Ta", "Al", "Al", "Li"], "fractional_positions": [[0.000, 0.500, 0.000], [0.500, 0.500, 0.500], [0.000, 0.000, 0.500], [0.500, 0.000, 0.000], [0.000, 0.000, 0.000]]}

=====

{"formula": "LiAlTcGe", "functional": "PBE", "state": "optimized geometry", "cell": [[4.316, 0.000, 0.000], [2.158, 3.738, 0.000], [2.158, 1.246, 3.524]], "species": ["Al", "Tc", "Li", "Ge"], "fractional_positions": [[0.750, 0.750, 0.750], [0.000, 0.000, 0.000], [0.500, 0.500, 0.500], [0.250, 0.250, 0.250]]}

=====

{"formula": "LiThAlGe2", "functional": "PBE", "state": "optimized geometry", "cell": [[-3.078, 1.172, -2.464], [-2.584, -2.446, 2.064], [1.597, 4.985, 3.808]], "species": ["Th", "Al", "Ge", "Ge", "Li"], "fractional_positions": [[0.000, 0.000, 0.000], [0.750, 0.250, 0.500], [0.386, 0.386, 0.773], [0.614, 0.614, 0.227], [0.250, 0.750, 0.500]]}

=====

{"formula": "LiAlTlGe", "functional": "PBE", "state": "optimized geometry", "cell": [[4.868, 0.000, 0.000], [2.434, 4.216, 0.000], [2.434, 1.405, 3.975]], "species": ["Li", "Tl", "Ge", "Al"], "fractional_positions": [[0.750, 0.750, 0.750], [0.000, 0.000, 0.000], [0.500, 0.500, 0.500], [0.250, 0.250, 0.250]]}

=====

{"formula": "Li2YAlGe2", "functional": "PBE", "state": "optimized geometry", "cell": [[4.170, 0.000, 0.000], [0.000, 7.082, 0.000], [0.000, 0.000, 7.947]], "species": ["Al", "Al", "Li", "Li", "Li", "Li", "Ge", "Ge", "Ge", "Ge", "Y", "Y"], "fractional_positions": [[0.500, 0.649, 0.306], [0.500, 0.149, 0.694], [0.000, 0.361, 0.170], [0.500, 0.035, 0.077], [0.000, 0.861, 0.830], [0.500, 0.535, 0.923], [0.000, 0.738, 0.141], [0.500, 0.276, 0.371], [0.000, 0.238, 0.859], [0.500, 0.776, 0.629], [0.000, 0.987, 0.432], [0.000, 0.487, 0.568]]}

=====

{"formula": "LiAlZnGe2", "functional": "PBE", "state": "optimized geometry", "cell": [[4.812, 0.000, 0.000], [0.000, 4.605, 0.000], [0.000, 0.000, 4.812]], "species": ["Al", "Zn", "Li", "Ge", "Ge"], "fractional_positions": [[0.500, 0.500, 0.500], [0.000, 0.000, 0.000], [0.000, 0.500, 0.000], [0.500, 0.000, 0.000], [0.000, 0.000, 0.500]]}

=====

no.,theoretical density (g cm⁻³),ΔH_f (0 K) (eV/atom)
1,4.71,0.004
2,3.90,-0.373
3,3.99,-0.548
4,4.12,-0.445
5,4.19,-0.455
6,3.53,-0.365
7,6.32,0.754
8,5.97,-0.142
9,6.98,-0.510
10,6.33,0.052
11,3.89,-0.529
12,3.81,0.454